(1)
Entry from Alexandria via LeMat-Bulk: a geometry-optimized BaMg2Cl structure (PBE-GGA).

Cell: 5.7969 5.7969 5.7969 Å, 60.00 60.00 60.00°
With the nearest neighbours (Å) after each atom.
Element x y z (fractional)
Ba  0.0000  0.0000  0.0000  8 Mg 3.55
Mg  0.2500  0.2500  0.2500  4 Ba 3.55, 4 Cl 3.55
Mg  0.7500  0.7500  0.7500  4 Ba 3.55, 4 Cl 3.55
Cl  0.5000  0.5000  0.5000  8 Mg 3.55

M_tot in μB per formula unit: 0.00
Energy above the most stable polymorph in this dataset in meV/atom: 501.4
SG: No. 225
Calculated volume in Å³/atom: 34.436
Energy in eV/atom: -1.907
Energy relative to the elements, uncorrected in eV per atom: -0.1675

(2)
Entry from Alexandria via LeMat-Bulk: a geometry-optimized HfZr4Al3 structure (PBE-GGA).

Cell: 10.0413 6.2132 5.1922 Å, 90.00 90.00 90.00°
With the nearest neighbours (Å) after each atom.
Element x y z (fractional)
Hf  0.0000  0.0000  0.0000  8 Zr 3.03-3.05, 4 Al 3.10-3.11
Hf  0.5000  0.0000  0.0000  8 Zr 3.03-3.05, 4 Al 3.10-3.11
Zr  0.0000  0.2514  0.5000  6 Al 3.02-3.06, 2 Hf 3.03, 4 Zr 3.09-3.14
Zr  0.0000  0.7486  0.5000  6 Al 3.02-3.06, 2 Hf 3.03, 4 Zr 3.09-3.14
Zr  0.2500  0.2531  0.1363  6 Al 2.97-3.09, 2 Hf 3.05, 4 Zr 3.07-3.15
Zr  0.2500  0.7469  0.1363  6 Al 2.97-3.09, 2 Hf 3.05, 4 Zr 3.07-3.15
Zr  0.5000  0.2514  0.5000  6 Al 3.02-3.06, 2 Hf 3.03, 4 Zr 3.09-3.14
Zr  0.5000  0.7486  0.5000  6 Al 3.02-3.06, 2 Hf 3.03, 4 Zr 3.09-3.14
Zr  0.7500  0.2531  0.8637  6 Al 2.97-3.09, 2 Hf 3.05, 4 Zr 3.07-3.15
Zr  0.7500  0.7469  0.8637  6 Al 2.97-3.09, 2 Hf 3.05, 4 Zr 3.07-3.15
Al  0.0000  0.5000  0.0000  8 Zr 3.02-3.03, 2 Al 3.11, 2 Hf 3.11
Al  0.2500  0.0000  0.6488  8 Zr 2.98-3.09, 2 Hf 3.10, 2 Al 3.11
Al  0.2500  0.5000  0.6476  8 Zr 2.97-3.07, 4 Al 3.11
Al  0.5000  0.5000  0.0000  8 Zr 3.02-3.03, 2 Al 3.11, 2 Hf 3.11
Al  0.7500  0.0000  0.3512  8 Zr 2.98-3.09, 2 Hf 3.10, 2 Al 3.11
Al  0.7500  0.5000  0.3524  8 Zr 2.97-3.07, 4 Al 3.11

M_tot in μB per formula unit: 0.00
SG: No. 51
Calculated volume in Å³/atom: 20.246
Energy relative to the elements in eV/atom: -0.298
Energy in eV/atom: -7.220

(3)
Entry from Alexandria via LeMat-Bulk: a geometry-optimized KAuBr2 structure (PBE-GGA).

Cell: 3.9175 4.5793 6.4416 Å, 90.00 90.00 90.00°
With the nearest neighbours (Å) after each atom.
Element x y z (fractional)
K  0.0000  0.0000  0.0000  4 Br 3.01
Au  0.0000  0.5000  0.5000  4 Br 3.01
Br  0.5000  0.0000  0.5000  4 Au 3.01
Br  0.5000  0.5000  0.0000  4 K 3.01

M_tot in μB per formula unit: 0.00
Energy above the most stable polymorph in this dataset in meV/atom: 357.1
SG: No. 47
Calculated volume in Å³/atom: 28.890
Energy in eV/atom: -2.503
Energy relative to the elements, uncorrected in eV per atom: -0.5730

(4)
Entry from Alexandria via LeMat-Bulk: a geometry-optimized Tl2SbPb structure (PBE-GGA).

Cell: 7.1849 7.1849 7.1849 Å, 123.70 84.80 122.40°
With the nearest neighbours (Å) after each atom.
Element x y z (fractional)
Tl  0.2662  0.0000  0.7662  4 Tl 3.39-3.48, 4 Sb 3.46-3.73, 4 Pb 3.59-3.63
Tl  0.2662  0.5000  0.2662  4 Tl 3.39-3.48, 4 Sb 3.46-3.73, 4 Pb 3.59-3.63
Tl  0.7338  0.0000  0.2338  4 Tl 3.39-3.48, 4 Sb 3.46-3.73, 4 Pb 3.59-3.63
Tl  0.7338  0.5000  0.7338  4 Tl 3.39-3.48, 4 Sb 3.46-3.73, 4 Pb 3.59-3.63
Sb  0.2516  0.0016  0.2500  3 Pb 3.16-3.41, 4 Tl 3.46
Sb  0.7484  0.9984  0.7500  3 Pb 3.16-3.41, 4 Tl 3.46
Pb  0.2051  0.4551  0.7500  3 Sb 3.16-3.41
Pb  0.7949  0.5449  0.2500  3 Sb 3.16-3.41

M_tot in μB per formula unit: 0.00
Energy above the most stable polymorph in this dataset in meV/atom: 9.9
SG: No. 74
Calculated volume in Å³/atom: 31.128
Energy in eV/atom: -3.134
Energy relative to the elements, uncorrected in eV per atom: 0.0069

(5)
Entry from Alexandria via LeMat-Bulk: a geometry-optimized CsK2Sb structure (PBE-GGA).

Cell: 5.7718 5.7718 5.4533 Å, 90.00 90.00 90.00°
With the nearest neighbours (Å) after each atom.
Element x y z (fractional)
Cs  0.0000  0.0000  0.0000  8 K 3.97, 4 Sb 4.08
K  0.0000  0.5000  0.5000  4 Sb 3.97, 4 Cs 3.97, 4 K 4.08
K  0.5000  0.0000  0.5000  4 Sb 3.97, 4 Cs 3.97, 4 K 4.08
Sb  0.5000  0.5000  0.0000  8 K 3.97, 4 Cs 4.08

M_tot in μB per formula unit: 0.00
SG: No. 123
Calculated volume in Å³/atom: 45.418
Energy in eV/atom: -1.997
Energy relative to the elements, uncorrected in eV per atom: -0.2043

(6)
Entry from Alexandria via LeMat-Bulk: a geometry-optimized La2PO2 structure (PBE-GGA).

Cell: 7.2291 7.2291 7.2291 Å, 148.16 148.16 45.65°
With the nearest neighbours (Å) after each atom.
Element x y z (fractional)
La  0.1547  0.1547  0.0000  4 O 2.35
La  0.8453  0.8453  0.0000  4 O 2.35
P  0.5000  0.5000  0.0000  8 La 3.48, 8 O 3.88
O  0.2500  0.7500  0.5000  4 La 2.35
O  0.7500  0.2500  0.5000  4 La 2.35

M_tot in μB per formula unit: 0.00
SG: No. 139
Calculated volume in Å³/atom: 20.959
Energy in eV/atom: -7.631
Energy relative to the elements, uncorrected in eV per atom: -2.5949